Record 1
VASP calculation (SCAN) on a crystal of Re2PtW relaxed with PBEsol.

Calculated values
DOS at the Fermi energy ... 2.54 states/eV/f.u.
Relative energy among the computed polymorphs ... 0.00 kJ per mole of atoms
Space-group type ... P4/mmm (123)
Formation energy from the elements ... -0.665 eV/f.u.

Unit cell a=3.891 b=3.891 c=3.900 alpha=90.00 beta=90.00 gamma=90.00
Sites, in units of the cell vectors:
Re1 0.000 0.500 0.000
Re2 0.500 0.000 0.000
Pt1 0.000 0.000 0.500
W1 0.500 0.500 0.500


Record 2
VASP calculation (SCAN) on a crystal of FeSeCl2 relaxed with PBEsol.

Calculated values
DOS at the Fermi energy ... 3.50 states/eV/f.u.
Relative energy among the computed polymorphs ... 29.06 kJ per mole of atoms
Space-group type ... Pmmm (47)

Unit cell a=3.080 b=4.187 c=5.666 alpha=90.00 beta=90.00 gamma=90.00
Sites, in units of the cell vectors:
Fe1 0.000 0.000 0.000
Se1 0.500 0.000 0.500
Cl1 0.000 0.500 0.500
Cl2 0.500 0.500 0.000


Record 3
VASP calculation (SCAN) on a crystal of Sb2Au relaxed with PBEsol.

Calculated values
DOS at the Fermi energy ... 1.58 states/eV/f.u.
Space-group type ... P6_3/mmc (194)
Calculated total energy ... -47.9339 eV/atom

Unit cell a=3.973 b=3.973 c=10.826 alpha=90.00 beta=90.00 gamma=120.00
Sites, in units of the cell vectors:
Sb1 0.333 0.667 0.101
Sb2 0.333 0.667 0.399
Sb3 0.667 0.333 0.601
Sb4 0.667 0.333 0.899
Au1 0.000 0.000 0.250
Au2 0.000 0.000 0.750


Record 4
VASP calculation (SCAN) on a crystal of K2SiRu relaxed with PBEsol.

Calculated values
DOS at the Fermi energy ... 1.56 states/eV/f.u.
Space-group type ... R3m (160)
Calculated total energy ... -15.2911 eV/atom

Unit cell a=9.712 b=9.712 c=9.712 alpha=23.73 beta=23.73 gamma=23.73
Sites, in units of the cell vectors:
K1 0.000 0.000 0.000
K2 0.176 0.176 0.176
Si1 0.422 0.422 0.422
Ru1 0.755 0.755 0.755


Record 5
VASP calculation (SCAN) on a crystal of Al4Ag3 relaxed with PBEsol.

Calculated values
DOS at the Fermi energy ... 1.70 states/eV/f.u.
Relative energy among the computed polymorphs ... 0.62 kJ per mole of atoms
Space-group type ... R-3m (166)
Formation energy from the elements ... -0.547 eV/f.u.

Unit cell a=15.372 b=15.372 c=15.372 alpha=10.96 beta=10.96 gamma=10.96
Sites, in units of the cell vectors:
Al1 0.071 0.071 0.071
Al2 0.214 0.214 0.214
Al3 0.786 0.786 0.786
Al4 0.929 0.929 0.929
Ag1 0.359 0.359 0.359
Ag2 0.500 0.500 0.500
Ag3 0.641 0.641 0.641


Record 6
VASP calculation (SCAN) on a crystal of Cs2DyCuCl6 relaxed with PBEsol.

Calculated values
DOS at the Fermi energy ... 0.00 states/eV/f.u.
Space-group type ... Fm-3m (225)
Calculated total energy ... -20.6894 eV/atom

Unit cell a=7.244 b=7.244 c=7.244 alpha=60.00 beta=60.00 gamma=60.00
Sites, in units of the cell vectors:
Cs1 0.250 0.250 0.250
Cs2 0.750 0.750 0.750
Dy1 0.000 0.000 0.000
Cu1 0.500 0.500 0.500
Cl1 0.255 0.255 0.745
Cl2 0.255 0.745 0.255
Cl3 0.255 0.745 0.745
Cl4 0.745 0.255 0.255
Cl5 0.745 0.255 0.745
Cl6 0.745 0.745 0.255


Record 7
VASP calculation (SCAN) on a crystal of Cd2TcCl relaxed with PBEsol.

Calculated values
DOS at the Fermi energy ... 2.07 states/eV/f.u.
Relative energy among the computed polymorphs ... 0.00 kJ per mole of atoms
Space-group type ... Pmmm (47)

Unit cell a=3.017 b=3.035 c=8.274 alpha=90.00 beta=90.00 gamma=90.00
Sites, in units of the cell vectors:
Cd1 0.000 0.000 0.229
Cd2 0.000 0.000 0.771
Tc1 0.500 0.500 0.000
Cl1 0.000 0.500 0.500


Record 8
VASP calculation (SCAN) on a crystal of KLi2Os relaxed with PBEsol.

Calculated values
DOS at the Fermi energy ... 2.06 states/eV/f.u.
Space-group type ... Fm-3m (225)
Formation energy from the elements ... 4.129 eV/f.u.

Unit cell a=4.734 b=4.734 c=4.734 alpha=60.00 beta=60.00 gamma=60.00
Sites, in units of the cell vectors:
K1 0.000 0.000 0.000
Li1 0.250 0.250 0.250
Li2 0.750 0.750 0.750
Os1 0.500 0.500 0.500